# 1
The following is a DFT calculation (GGA-PBE) of a geometry-optimized KLa2S structure.

a = 7.629 Å, b = 7.629 Å, c = 7.629 Å
α = 101.35°, β = 101.35°, γ = 127.33°
Sites, in units of the cell vectors:
K  0.000  0.000  0.000
K  0.750  0.250  0.500
La  0.245  0.625  0.120
La  0.375  0.495  0.620
La  0.505  0.125  0.880
La  0.875  0.755  0.380
S  0.250  0.750  0.500
S  0.500  0.500  0.000

DOS at the Fermi energy = 0.782 states/eV/f.u.
crystal system = tetragonal
magnetization = 2.001 Bohr magnetons per cell
space-group type = I-42d
energy relative to the elements, uncorrected = -497 meV/atom

# 2
The following is a DFT calculation (GGA-PBE) of a geometry-optimized K3LaS structure.

a = 6.217 Å, b = 6.217 Å, c = 6.217 Å
α = 90.00°, β = 90.00°, γ = 90.00°
Sites, in units of the cell vectors:
K  0.000  0.000  0.500
K  0.000  0.500  0.000
K  0.500  0.000  0.000
La  0.500  0.500  0.500
S  0.000  0.000  0.000

DOS at the Fermi energy = 9.405 states/eV/f.u.
energy above the lowest structure with this stoichiometry = 0.0 meV per atom
crystal system = cubic
magnetization = 2.039 Bohr magnetons per cell
space-group type = Pm-3m
energy relative to the elements, uncorrected = -13 meV/atom

# 3
The following is a DFT calculation (GGA-PBE) of a geometry-optimized KLaS3 structure.

a = 5.131 Å, b = 5.131 Å, c = 5.131 Å
α = 90.00°, β = 90.00°, γ = 90.00°
Sites, in units of the cell vectors:
K  0.000  0.000  0.000
La  0.500  0.500  0.500
S  0.000  0.000  0.500
S  0.000  0.500  0.000
S  0.500  0.000  0.000

DOS at the Fermi energy = 5.114 states/eV/f.u.
energy above the lowest structure with this stoichiometry = 863.2 meV per atom
crystal system = cubic
magnetization = 0.634 Bohr magnetons per cell
space-group type = Pm-3m
energy relative to the elements, uncorrected = -109 meV/atom

# 4
The following is a DFT calculation (GGA-PBE) of a geometry-optimized KLa5S6 structure.

a = 7.261 Å, b = 7.261 Å, c = 7.267 Å
α = 99.61°, β = 99.61°, γ = 119.93°
Sites, in units of the cell vectors:
K  0.000  0.000  0.000
La  0.163  0.837  0.500
La  0.334  0.666  0.000
La  0.500  0.500  0.500
La  0.666  0.334  0.000
La  0.837  0.163  0.500
S  0.086  0.428  0.257
S  0.258  0.258  0.749
S  0.428  0.086  0.257
S  0.572  0.914  0.743
S  0.742  0.742  0.251
S  0.914  0.572  0.743

DOS at the Fermi energy = 6.029 states/eV/f.u.
crystal system = monoclinic
magnetization = 0.000 Bohr magnetons per cell
space-group type = C2/m
energy relative to the elements, uncorrected = -2048 meV/atom

# 5
The following is a DFT calculation (GGA-PBE) of a geometry-optimized K3LaS structure.

a = 6.585 Å, b = 6.585 Å, c = 6.585 Å
α = 90.00°, β = 90.00°, γ = 90.00°
Sites, in units of the cell vectors:
K  0.000  0.000  0.500
K  0.000  0.500  0.000
K  0.500  0.000  0.000
La  0.000  0.000  0.000
S  0.500  0.500  0.500

DOS at the Fermi energy = 7.012 states/eV/f.u.
energy above the lowest structure with this stoichiometry = 958.6 meV per atom
crystal system = cubic
magnetization = 3.789 Bohr magnetons per cell
space-group type = Pm-3m
energy relative to the elements, uncorrected = 946 meV/atom

# 6
The following is a DFT calculation (GGA-PBE) of a geometry-optimized K2LaS2 structure.

a = 7.993 Å, b = 7.993 Å, c = 4.689 Å
α = 90.00°, β = 90.00°, γ = 90.00°
Sites, in units of the cell vectors:
K  0.133  0.367  0.000
K  0.367  0.867  0.000
K  0.633  0.133  0.000
K  0.867  0.633  0.000
La  0.000  0.000  0.500
La  0.500  0.500  0.500
S  0.184  0.684  0.500
S  0.316  0.184  0.500
S  0.684  0.816  0.500
S  0.816  0.316  0.500

DOS at the Fermi energy = 0.752 states/eV/f.u.
crystal system = tetragonal
magnetization = 0.000 Bohr magnetons per cell
space-group type = P4/mbm
energy relative to the elements, uncorrected = -1258 meV/atom

# 7
The following is a DFT calculation (GGA-PBE) of a geometry-optimized KLaS2 structure.

a = 5.118 Å, b = 5.118 Å, c = 5.118 Å
α = 60.00°, β = 60.00°, γ = 60.00°
Sites, in units of the cell vectors:
K  0.000  0.000  0.000
La  0.500  0.500  0.500
S  0.250  0.250  0.250
S  0.750  0.750  0.750

DOS at the Fermi energy = 0.000 states/eV/f.u.
crystal system = cubic
magnetization = 0.000 Bohr magnetons per cell
space-group type = Fm-3m
energy relative to the elements, uncorrected = -1611 meV/atom

# 8
The following is a DFT calculation (GGA-PBE) of a geometry-optimized KLaS3 structure.

a = 5.591 Å, b = 5.591 Å, c = 5.591 Å
α = 90.00°, β = 90.00°, γ = 90.00°
Sites, in units of the cell vectors:
K  0.000  0.000  0.000
La  0.500  0.500  0.500
S  0.000  0.500  0.500
S  0.500  0.000  0.500
S  0.500  0.500  0.000

DOS at the Fermi energy = 5.135 states/eV/f.u.
energy above the lowest structure with this stoichiometry = 0.0 meV per atom
crystal system = cubic
magnetization = 1.997 Bohr magnetons per cell
space-group type = Pm-3m
energy relative to the elements, uncorrected = -972 meV/atom